Compound: Tb3PmHg2
Source: the Alexandria database
Functional: PBE
Structure: relaxed

**Excess energy over the best structure of this formula in the dataset**: 0.23 eV/f.u.
**Size of the total moment**: 0.046 μB/f.u.

a = 3.6979 Å, b = 3.6979 Å, c = 12.5273 Å
α = 90.00°, β = 90.00°, γ = 90.00°
Element x y z (fractional)
Tb 0.0000 0.0000 0.0000
Tb 0.0000 0.0000 0.6990
Tb 0.0000 0.0000 0.3010
Pm 0.5000 0.5000 0.5000
Hg 0.5000 0.5000 0.8483
Hg 0.5000 0.5000 0.1517